# 1
Computed, not measured: a relaxed K2MoRu crystal at the PBE level of DFT.

Output
Uncorrected energy in eV per formula unit: -17.0
Total magnetic moment in μB/cell: 0.0
DOS at the Fermi energy in states/eV per atom: 1.039

Lattice parameters (Å, degrees): 3.796 3.796 5.897 90.00 90.00 90.00
Space group P4/mmm (No. 123)
Unique sites:
1 K 0.000 0.500 0.000 (multiplicity 2)
2 Mo 0.000 0.000 0.500 (multiplicity 1)
3 Ru 0.500 0.500 0.500 (multiplicity 1)

=====

# 2
Computed, not measured: a relaxed KMoRu2 crystal at the PBE level of DFT.

Output
Uncorrected energy in eV per formula unit: -24.8
Total magnetic moment in μB/cell: 0.0
DOS at the Fermi energy in states/eV per atom: 0.759

Lattice parameters (Å, degrees): 6.416 6.416 6.416 90.00 90.00 90.00
Space group F-43m (No. 216)
Unique sites:
1 K 0.000 0.000 0.000 (multiplicity 4)
2 Mo 0.250 0.250 0.750 (multiplicity 4)
3 Ru 0.000 0.000 0.500 (multiplicity 4)
4 Ru 0.250 0.250 0.250 (multiplicity 4)